VASP calculation (PBE-GGA) on a relaxed TiP2Pd crystal.

Structure (POSCAR):
```
TiP2Pd
1.0
-3.4680 2.6670 -3.4198
-2.7801 -4.7278 -0.8677
-6.3049 0.0879 1.9540
P Pd Ti
4 2 2
direct
0.3750 0.3667 0.7500
0.8750 0.8833 0.7500
0.6333 0.1250 0.2500
0.1167 0.6250 0.2500
0.7500 0.2500 0.5000
0.0000 0.0000 0.0000
0.2500 0.7500 0.5000
0.5000 0.5000 0.0000
```

Output
density of states at the Fermi level: 6.37 states/eV per cell
polymorph energy (0 for the lowest one): 6.48 kcal/mol of atoms

=====

VASP calculation (PBE-GGA) on a relaxed Tb2PrSm6Ho3 crystal.

Structure (POSCAR):
```
Tb2PrSm6Ho3
1.0
-4.6677 -1.1512 -3.9707
5.9108 -0.7499 -1.8382
-0.7129 -10.5236 5.5173
Sm Ho Tb Pr
6 3 2 1
direct
0.7503 0.7503 0.2526
0.0844 0.4186 0.2526
0.9156 0.5814 0.7474
0.2497 0.2497 0.7474
0.5814 0.9156 0.7474
0.4186 0.0844 0.2526
0.8330 0.1670 0.5000
0.1670 0.8330 0.5000
0.5000 0.5000 0.5000
0.3334 0.6666 0.0000
0.6666 0.3334 0.0000
0.0000 0.0000 0.0000
```

Output
density of states at the Fermi level: 15.26 states/eV per cell
electronic total energy: -4.659 eV/atom

=====

VASP calculation (PBE-GGA) on a relaxed TaAgAu2 crystal.

Structure (POSCAR):
```
TaAgAu2
1.0
-0.4619 -2.9164 0.2296
1.2746 -1.8570 -1.9231
7.7915 -2.3335 5.1368
Ta Ag Au
1 1 2
direct
0.4999 0.4999 0.5003
0.6669 0.6669 0.9994
0.0854 0.0854 0.7438
0.2479 0.2479 0.2564
```

Output
density of states at the Fermi level: 1.62 states/eV per cell
electronic total energy: -5.313 eV/atom

=====

VASP calculation (PBE-GGA) on a relaxed Ce2HgRuAu crystal.

Structure (POSCAR):
```
Ce2HgRuAu
1.0
-3.9340 2.1231 2.4408
-4.4946 -4.2116 -3.5807
2.3828 -3.0440 6.4883
Au Ru Hg Ce
2 2 2 4
direct
0.2500 0.5644 0.7320
0.7500 0.4356 0.2680
0.2500 0.9665 0.9585
0.7500 0.0335 0.0415
0.7500 0.3038 0.6489
0.2500 0.6962 0.3511
0.2500 0.1886 0.3575
0.7500 0.7292 0.0757
0.2500 0.2708 0.9243
0.7500 0.8114 0.6425
```

Output
density of states at the Fermi level: 19.36 states/eV per cell
electronic total energy: -5.335 eV/atom

=====

The records above yield theoretical density values of 4.39 7.81 15.77 10.26 g/cm3, respectively.